[1]
Material: CoPbCl4
Method: DFT, PBE-GGA
State: optimized geometry

Cell lengths 5.930, 5.930, 5.930 Å; angles 60.00, 60.00, 60.00 degrees
Fractional coordinates of all 6 atoms:
Co: 0.000 0.000 0.000
Pb: 0.750 0.750 0.750
Cl: 0.374 0.374 0.374
Cl: 0.374 0.374 0.878
Cl: 0.374 0.878 0.374
Cl: 0.878 0.374 0.374

=====

[2]
Material: CoPbCl
Method: DFT, PBE-GGA
State: optimized geometry

Cell lengths 4.473, 4.473, 4.473 Å; angles 60.00, 60.00, 60.00 degrees
Fractional coordinates of all 3 atoms:
Co: 0.000 0.000 0.000
Pb: 0.250 0.250 0.250
Cl: 0.750 0.750 0.750

=====

[3]
Material: Co2PbCl
Method: DFT, PBE-GGA
State: optimized geometry

Cell lengths 7.607, 7.607, 7.607 Å; angles 24.86, 24.86, 24.86 degrees
Fractional coordinates of all 4 atoms:
Co: 0.242 0.242 0.242
Co: 0.758 0.758 0.758
Pb: 0.000 0.000 0.000
Cl: 0.500 0.500 0.500

=====

| no. | ΔE to the lowest computed polymorph (meV per atom) | formation energy without anion corrections (eV per atom) |
| --- | --- | --- |
| 1 | 1431 | 0.59 |
| 2 | 397 | 0.37 |
| 3 | 308 | 0.48 |